# 1
Crystalline Pm2Y3HoTe6 at its relaxed geometry. Source: Alexandria, functional GGA-PBE.

Calculated values
Formation energy without anion corrections, meV/atom: -1334
Fermi-level density of states, states/eV per cell: 6.8
Final energy, eV/cell: -68.3
Crystal system: monoclinic

Lattice parameters (Å, degrees): 4.3704 8.8352 9.8298 102.83 102.84 90.00
With the nearest neighbours (Å) after each atom.
Positions (direct):
1 Te 0.0026 0.7535 0.0052  2 Ho 3.09, 3 Y 3.12-3.16, 1 Pm 3.22
2 Te 0.3365 0.9237 0.6730  1 Ho 3.05, 3 Y 3.08, 2 Pm 3.16
3 Te 0.3371 0.4120 0.6742  3 Y 3.04-3.06, 3 Pm 3.12-3.14
4 Te 0.6635 0.0763 0.3270  1 Ho 3.05, 3 Y 3.08, 2 Pm 3.16
5 Te 0.6629 0.5880 0.3258  3 Y 3.04-3.06, 3 Pm 3.12-3.14
6 Te 0.9974 0.2465 0.9948  2 Ho 3.09, 3 Y 3.12-3.16, 1 Pm 3.22
7 Ho 0.5000 0.0000 0.0000  6 Te 3.05-3.09
8 Y 0.1718 0.8346 0.3436  6 Te 3.06-3.16
9 Y 0.8282 0.1654 0.6564  6 Te 3.06-3.16
10 Y 0.5000 0.5000 0.0000  6 Te 3.04-3.12
11 Pm 0.8299 0.6627 0.6599  6 Te 3.12-3.22
12 Pm 0.1701 0.3373 0.3401  6 Te 3.12-3.22


# 2
Crystalline Li5Ag2Au at its relaxed geometry. Source: Alexandria, functional GGA-PBE.

Calculated values
Formation energy, eV per atom: -0.293
Fermi-level density of states, states/eV per cell: 1.8
Final energy, eV/cell: -20.9
Crystal system: tetragonal

Lattice parameters (Å, degrees): 4.2095 4.2095 7.7907 105.67 105.67 90.00
With the nearest neighbours (Å) after each atom.
Positions (direct):
1 Li 0.3755 0.8755 0.7511  4 Ag 2.75-2.79, 6 Li 2.76-2.98, 2 Au 2.76
2 Li 0.5000 0.5000 0.0000  8 Li 2.76, 4 Au 2.98
3 Li 0.6245 0.1245 0.2489  4 Ag 2.75-2.79, 6 Li 2.76-2.98, 2 Au 2.76
4 Li 0.1245 0.6245 0.2489  4 Ag 2.75-2.79, 2 Au 2.76, 6 Li 2.76-2.98
5 Li 0.8755 0.3755 0.7511  4 Ag 2.75-2.79, 6 Li 2.76-2.98, 2 Au 2.76
6 Ag 0.7478 0.7478 0.4956  8 Li 2.75-2.79, 4 Ag 2.98
7 Ag 0.2522 0.2522 0.5044  8 Li 2.75-2.79, 4 Ag 2.98
8 Au 0.0000 0.0000 0.0000  12 Li 2.76-2.98


Question: The lowest final energy belongs to which entry?
Answer: Pm2Y3HoTe6